[1]
DFT (PBE) results for MnNbC2Se after structural relaxation.

Unit cell a=4.085 b=4.085 c=5.092 alpha=90.00 beta=90.00 gamma=90.00
Sites, in units of the cell vectors:
1 Mn 0.000 0.000 0.000
2 Nb 0.000 0.000 0.500
3 C 0.000 0.500 0.500
4 C 0.500 0.000 0.500
5 Se 0.500 0.500 0.000

Raw total energy (eV per atom): -6.227
N(E_F) (states/eV/f.u.): 5.64
Formation energy from raw total energies (eV/atom): 2.0075
Theoretical density (g/cm³): 4.9

[2]
DFT (PBE) results for Mn2NbSnC after structural relaxation.

Unit cell a=4.049 b=4.049 c=4.415 alpha=90.00 beta=90.00 gamma=90.00
Sites, in units of the cell vectors:
1 Mn 0.000 0.500 0.000
2 Mn 0.500 0.000 0.000
3 Nb 0.000 0.000 0.500
4 Sn 0.500 0.500 0.500
5 C 0.000 0.000 0.000

Raw total energy (eV per atom): -8.383
N(E_F) (states/eV/f.u.): 2.99
Theoretical density (g/cm³): 7.7

[3]
DFT (PBE) results for MnNb2SnC after structural relaxation.

Unit cell a=4.440 b=4.440 c=3.893 alpha=90.00 beta=90.00 gamma=90.00
Sites, in units of the cell vectors:
1 Mn 0.000 0.000 0.000
2 Nb 0.000 0.500 0.500
3 Nb 0.500 0.000 0.500
4 Sn 0.500 0.500 0.000
5 C 0.000 0.000 0.500

Raw total energy (eV per atom): -8.638
N(E_F) (states/eV/f.u.): 4.13
Theoretical density (g/cm³): 8.0

[4]
DFT (PBE) results for TbMnNb2C4 after structural relaxation.

Unit cell a=5.783 b=5.783 c=10.901 alpha=90.00 beta=90.00 gamma=147.61
Sites, in units of the cell vectors:
1 Tb 0.099 0.901 0.750
2 Tb 0.901 0.099 0.250
3 Mn 0.165 0.835 0.250
4 Mn 0.835 0.165 0.750
5 Nb 0.370 0.630 0.541
6 Nb 0.370 0.630 0.959
7 Nb 0.630 0.370 0.041
8 Nb 0.630 0.370 0.459
9 C 0.000 0.000 0.000
10 C 0.000 0.000 0.500
11 C 0.265 0.735 0.119
12 C 0.265 0.735 0.381
13 C 0.423 0.577 0.750
14 C 0.577 0.423 0.250
15 C 0.735 0.265 0.619
16 C 0.735 0.265 0.881

Raw total energy (eV per atom): -9.158
N(E_F) (states/eV/f.u.): 3.85
Theoretical density (g/cm³): 7.6

> Number 3 is which compound?

MnNb2SnC

> The lowest raw total energy belongs to which entry?

TbMnNb2C4